1.
Material: KGa2Mo
Method: DFT, GGA-PBEsol
State: relaxed Values from VASP.

Calculated values
crystal system: cubic
magnetization: 2.4 μB/f.u.
SG: Fm-3m (225)
mass density: 5.8 g cm⁻³
calculated formation energy: 3.209 eV/f.u.

Quantum ESPRESSO input file:
```
&SYSTEM
  ibrav = 0, nat = 4, ntyp = 3
/
ATOMIC_SPECIES
K 39.10 K.upf
Ga 69.72 Ga.upf
Mo 95.94 Mo.upf
ATOMIC_POSITIONS angstrom
K 0.000 0.000 0.000
Ga 1.702 1.702 1.702
Ga 5.107 5.107 5.107
Mo 3.405 3.405 3.405
CELL_PARAMETERS angstrom
0.000 3.405 3.405
3.405 0.000 3.405
3.405 3.405 0.000
```



2.
Material: TlCdPb
Method: DFT, GGA-PBEsol
State: relaxed Values from VASP.

Calculated values
crystal system: trigonal
magnetization: 0.0 μB/f.u.
distance to the lowest polymorph of the same formula: 25 meV per atom
SG: P3m1 (156)
mass density: 10.8 g cm⁻³
calculated formation energy: 0.189 eV/f.u.

Quantum ESPRESSO input file:
```
&SYSTEM
  ibrav = 0, nat = 3, ntyp = 3
/
ATOMIC_SPECIES
Tl 204.38 Tl.upf
Cd 112.41 Cd.upf
Pb 207.20 Pb.upf
ATOMIC_POSITIONS angstrom
Tl 0.000 0.000 0.000
Cd 2.627 1.517 0.932
Pb 0.000 3.034 1.854
CELL_PARAMETERS angstrom
5.255 0.000 0.000
-2.627 4.551 0.000
0.000 0.000 3.366
```



3.
Material: AsRhCl2
Method: DFT, GGA-PBEsol
State: relaxed Values from VASP.

Calculated values
crystal system: trigonal
magnetization: 0.0 μB/f.u.
distance to the lowest polymorph of the same formula: 0 meV per atom
SG: P3m1 (156)
mass density: 4.8 g cm⁻³
formation energy without anion corrections: -228 kJ/mol of formula units

Quantum ESPRESSO input file:
```
&SYSTEM
  ibrav = 0, nat = 4, ntyp = 3
/
ATOMIC_SPECIES
As 74.92 As.upf
Rh 102.91 Rh.upf
Cl 35.45 Cl.upf
ATOMIC_POSITIONS angstrom
As 0.000 0.000 0.000
Rh 0.000 2.079 6.594
Cl 0.000 0.000 2.155
Cl 1.801 1.040 5.137
CELL_PARAMETERS angstrom
3.601 0.000 0.000
-1.801 3.119 0.000
0.000 0.000 7.683
```



4.
Material: KMgPb2
Method: DFT, GGA-PBEsol
State: relaxed Values from VASP.

Calculated values
crystal system: monoclinic
magnetization: 0.0 μB/f.u.
SG: C2/m (12)
mass density: 6.2 g cm⁻³
calculated formation energy: -0.359 eV/f.u.

Quantum ESPRESSO input file:
```
&SYSTEM
  ibrav = 0, nat = 4, ntyp = 3
/
ATOMIC_SPECIES
K 39.10 K.upf
Mg 24.30 Mg.upf
Pb 207.20 Pb.upf
ATOMIC_POSITIONS angstrom
K 0.000 0.000 0.000
Mg 4.423 0.000 3.611
Pb 1.615 0.000 4.926
Pb 7.231 0.000 2.296
CELL_PARAMETERS angstrom
4.985 -1.780 0.000
4.985 1.780 0.000
-1.125 0.000 7.222
```



5.
Material: Ir2RuPt
Method: DFT, GGA-PBEsol
State: relaxed Values from VASP.

Calculated values
crystal system: orthorhombic
magnetization: 0.0 μB/f.u.
distance to the lowest polymorph of the same formula: 66 meV per atom
SG: Cmmm (65)
mass density: 20.1 g cm⁻³
calculated formation energy: 0.245 eV/f.u.

Quantum ESPRESSO input file:
```
&SYSTEM
  ibrav = 0, nat = 4, ntyp = 3
/
ATOMIC_SPECIES
Ir 192.22 Ir.upf
Ru 101.07 Ru.upf
Pt 195.08 Pt.upf
ATOMIC_POSITIONS angstrom
Ir 1.354 1.913 0.000
Ir 1.354 -1.913 0.000
Ru 0.000 0.000 1.359
Pt 2.707 0.000 1.359
CELL_PARAMETERS angstrom
2.707 -3.825 0.000
2.707 3.825 0.000
0.000 0.000 2.718
```



6.
Material: SnRu2Se
Method: DFT, GGA-PBEsol
State: relaxed Values from VASP.

Calculated values
crystal system: cubic
magnetization: 0.0 μB/f.u.
SG: Fm-3m (225)
mass density: 10.6 g cm⁻³
formation energy without anion corrections: 88 kJ/mol of formula units

Quantum ESPRESSO input file:
```
&SYSTEM
  ibrav = 0, nat = 4, ntyp = 3
/
ATOMIC_SPECIES
Sn 118.71 Sn.upf
Ru 101.07 Ru.upf
Se 78.96 Se.upf
ATOMIC_POSITIONS angstrom
Sn 0.000 0.000 0.000
Ru 1.578 1.578 1.578
Ru 4.734 4.734 4.734
Se 3.156 3.156 3.156
CELL_PARAMETERS angstrom
0.000 3.156 3.156
3.156 0.000 3.156
3.156 3.156 0.000
```



7.
Material: Mg3ZnRh
Method: DFT, GGA-PBEsol
State: relaxed Values from VASP.

Calculated values
crystal system: cubic
magnetization: 0.0 μB/f.u.
distance to the lowest polymorph of the same formula: 443 meV per atom
SG: Pm-3m (221)
mass density: 3.8 g cm⁻³
calculated formation energy: 3.070 eV/f.u.

Quantum ESPRESSO input file:
```
&SYSTEM
  ibrav = 0, nat = 5, ntyp = 3
/
ATOMIC_SPECIES
Mg 24.30 Mg.upf
Zn 65.41 Zn.upf
Rh 102.91 Rh.upf
ATOMIC_POSITIONS angstrom
Mg 0.000 0.000 2.355
Mg 0.000 2.355 0.000
Mg 2.355 0.000 0.000
Zn 0.000 0.000 0.000
Rh 2.355 2.355 2.355
CELL_PARAMETERS angstrom
4.709 0.000 0.000
0.000 4.709 0.000
0.000 0.000 4.709
```



8.
Material: KBaIr
Method: DFT, GGA-PBEsol
State: relaxed Values from VASP.

Calculated values
crystal system: trigonal
magnetization: 0.0 μB/f.u.
distance to the lowest polymorph of the same formula: 0 meV per atom
SG: P3m1 (156)
mass density: 5.8 g cm⁻³
calculated formation energy: 1.652 eV/f.u.

Quantum ESPRESSO input file:
```
&SYSTEM
  ibrav = 0, nat = 3, ntyp = 3
/
ATOMIC_SPECIES
K 39.10 K.upf
Ba 137.33 Ba.upf
Ir 192.22 Ir.upf
ATOMIC_POSITIONS angstrom
K 0.000 0.000 0.000
Ba 0.000 2.751 2.706
Ir 2.383 1.376 1.808
CELL_PARAMETERS angstrom
4.765 0.000 0.000
-2.383 4.127 0.000
0.000 0.000 5.353
```



9.
Material: TcNiP2
Method: DFT, GGA-PBEsol
State: relaxed Values from VASP.

Calculated values
crystal system: tetragonal
magnetization: 0.0 μB/f.u.
distance to the lowest polymorph of the same formula: 0 meV per atom
SG: P4mm (99)
mass density: 7.4 g cm⁻³
calculated formation energy: -1.749 eV/f.u.

Quantum ESPRESSO input file:
```
&SYSTEM
  ibrav = 0, nat = 4, ntyp = 3
/
ATOMIC_SPECIES
Tc 98.00 Tc.upf
Ni 58.69 Ni.upf
P 30.97 P.upf
ATOMIC_POSITIONS angstrom
Tc 0.000 0.000 0.000
Ni 1.576 1.576 1.776
P 0.000 0.000 2.367
P 1.576 1.576 4.026
CELL_PARAMETERS angstrom
3.152 0.000 0.000
0.000 3.152 0.000
0.000 0.000 4.925
```



10.
Material: ZrAl2In2
Method: DFT, GGA-PBEsol
State: relaxed Values from VASP.

Calculated values
crystal system: tetragonal
magnetization: 0.0 μB/f.u.
SG: I4/mmm (139)
mass density: 5.8 g cm⁻³
calculated formation energy: 0.840 eV/f.u.

Quantum ESPRESSO input file:
```
&SYSTEM
  ibrav = 0, nat = 5, ntyp = 3
/
ATOMIC_SPECIES
Zr 91.22 Zr.upf
Al 26.98 Al.upf
In 114.82 In.upf
ATOMIC_POSITIONS angstrom
Zr 0.000 0.000 0.000
Al 1.916 0.000 3.646
Al 0.000 1.916 3.646
In 0.000 0.000 5.816
In 0.000 0.000 8.767
CELL_PARAMETERS angstrom
-1.916 1.916 7.292
1.916 -1.916 7.292
1.916 1.916 -7.292
```



11.
Material: Be2InP
Method: DFT, GGA-PBEsol
State: relaxed Values from VASP.

Calculated values
crystal system: monoclinic
magnetization: 0.0 μB/f.u.
distance to the lowest polymorph of the same formula: 0 meV per atom
SG: Pm (6)
mass density: 4.5 g cm⁻³
calculated formation energy: 0.707 eV/f.u.

Quantum ESPRESSO input file:
```
&SYSTEM
  ibrav = 0, nat = 4, ntyp = 3
/
ATOMIC_SPECIES
Be 9.01 Be.upf
In 114.82 In.upf
P 30.97 P.upf
ATOMIC_POSITIONS angstrom
Be 0.000 0.000 0.000
Be 0.006 1.681 1.483
In -0.008 0.000 3.404
P 1.629 1.681 0.170
CELL_PARAMETERS angstrom
3.248 0.000 0.000
0.000 3.363 0.000
-1.620 0.000 5.583
```



12.
Material: NiAuO2
Method: DFT, GGA-PBEsol
State: relaxed Values from VASP.

Calculated values
crystal system: trigonal
magnetization: 0.6 μB/f.u.
SG: R-3m (166)
mass density: 8.8 g cm⁻³
formation energy without anion corrections: 26 kJ/mol of formula units

Quantum ESPRESSO input file:
```
&SYSTEM
  ibrav = 0, nat = 4, ntyp = 3
/
ATOMIC_SPECIES
Ni 58.69 Ni.upf
Au 196.97 Au.upf
O 16.00 O.upf
ATOMIC_POSITIONS angstrom
Ni 0.000 0.000 0.000
Au 0.000 0.000 8.117
O 0.000 0.000 1.747
O 0.000 0.000 14.487
CELL_PARAMETERS angstrom
1.705 0.984 5.411
-1.705 0.984 5.411
0.000 -1.969 5.411
```



13.
Material: CsHgGeMo2
Method: DFT, GGA-PBEsol
State: relaxed Values from VASP.

Calculated values
crystal system: tetragonal
magnetization: 6.8 μB/f.u.
SG: P4/mmm (123)
mass density: 7.0 g cm⁻³
calculated formation energy: 7.143 eV/f.u.

Quantum ESPRESSO input file:
```
&SYSTEM
  ibrav = 0, nat = 5, ntyp = 4
/
ATOMIC_SPECIES
Cs 132.91 Cs.upf
Hg 200.59 Hg.upf
Ge 72.64 Ge.upf
Mo 95.94 Mo.upf
ATOMIC_POSITIONS angstrom
Cs 0.000 0.000 0.000
Hg 2.497 2.497 0.000
Ge 2.497 2.497 2.829
Mo 0.000 2.497 2.829
Mo 2.497 0.000 2.829
CELL_PARAMETERS angstrom
4.995 0.000 0.000
0.000 4.995 0.000
0.000 0.000 5.658
```



14.
Material: MgTl3Cl
Method: DFT, GGA-PBEsol
State: relaxed Values from VASP.

Calculated values
crystal system: cubic
magnetization: 0.0 μB/f.u.
SG: Pm-3m (221)
mass density: 6.8 g cm⁻³
formation energy without anion corrections: 25 kJ/mol of formula units

Quantum ESPRESSO input file:
```
&SYSTEM
  ibrav = 0, nat = 5, ntyp = 3
/
ATOMIC_SPECIES
Mg 24.30 Mg.upf
Tl 204.38 Tl.upf
Cl 35.45 Cl.upf
ATOMIC_POSITIONS angstrom
Mg 0.000 0.000 0.000
Tl 0.000 0.000 2.742
Tl 0.000 2.742 0.000
Tl 2.742 0.000 0.000
Cl 2.742 2.742 2.742
CELL_PARAMETERS angstrom
5.485 0.000 0.000
0.000 5.485 0.000
0.000 0.000 5.485
```



15.
Material: ReSiBr2
Method: DFT, GGA-PBEsol
State: relaxed Values from VASP.

Calculated values
crystal system: tetragonal
magnetization: 0.0 μB/f.u.
SG: P4/mmm (123)
mass density: 8.2 g cm⁻³
formation energy without anion corrections: 436 kJ/mol of formula units

Quantum ESPRESSO input file:
```
&SYSTEM
  ibrav = 0, nat = 4, ntyp = 3
/
ATOMIC_SPECIES
Re 186.21 Re.upf
Si 28.09 Si.upf
Br 79.90 Br.upf
ATOMIC_POSITIONS angstrom
Re 0.000 0.000 0.000
Si 0.000 0.000 4.115
Br 1.515 1.515 1.640
Br 1.515 1.515 6.590
CELL_PARAMETERS angstrom
3.030 0.000 0.000
0.000 3.030 0.000
0.000 0.000 8.231
```



16.
Material: MoPb
Method: DFT, GGA-PBEsol
State: relaxed Values from VASP.

Calculated values
crystal system: cubic
magnetization: 0.1 μB/f.u.
distance to the lowest polymorph of the same formula: 68 meV per atom
SG: Pm-3m (221)
mass density: 13.3 g cm⁻³
calculated formation energy: 1.699 eV/f.u.

Quantum ESPRESSO input file:
```
&SYSTEM
  ibrav = 0, nat = 2, ntyp = 2
/
ATOMIC_SPECIES
Mo 95.94 Mo.upf
Pb 207.20 Pb.upf
ATOMIC_POSITIONS angstrom
Mo 0.000 0.000 0.000
Pb 1.678 1.678 1.678
CELL_PARAMETERS angstrom
3.356 0.000 0.000
0.000 3.356 0.000
0.000 0.000 3.356
```



17.
Material: FeCoW2
Method: DFT, GGA-PBEsol
State: relaxed Values from VASP.

Calculated values
crystal system: trigonal
magnetization: 3.0 μB/f.u.
distance to the lowest polymorph of the same formula: 276 meV per atom
SG: R3m (160)
mass density: 14.8 g cm⁻³
calculated formation energy: 1.441 eV/f.u.

Quantum ESPRESSO input file:
```
&SYSTEM
  ibrav = 0, nat = 4, ntyp = 3
/
ATOMIC_SPECIES
Fe 55.84 Fe.upf
Co 58.93 Co.upf
W 183.84 W.upf
ATOMIC_POSITIONS angstrom
Fe 0.000 0.000 0.000
Co 0.000 0.000 19.153
W 0.000 0.000 6.463
W 0.000 0.000 12.626
CELL_PARAMETERS angstrom
1.343 0.776 8.641
-1.343 0.776 8.641
0.000 -1.551 8.641
```



18.
Material: AlPSe
Method: DFT, GGA-PBEsol
State: relaxed Values from VASP.

Calculated values
crystal system: cubic
magnetization: 0.0 μB/f.u.
SG: F-43m (216)
mass density: 3.9 g cm⁻³
formation energy without anion corrections: 156 kJ/mol of formula units

Quantum ESPRESSO input file:
```
&SYSTEM
  ibrav = 0, nat = 3, ntyp = 3
/
ATOMIC_SPECIES
Al 26.98 Al.upf
P 30.97 P.upf
Se 78.96 Se.upf
ATOMIC_POSITIONS angstrom
Al 0.000 0.000 0.000
P 3.087 3.087 3.087
Se 4.631 4.631 4.631
CELL_PARAMETERS angstrom
0.000 3.087 3.087
3.087 0.000 3.087
3.087 3.087 0.000
```



19.
Material: Ca2PbW
Method: DFT, GGA-PBEsol
State: relaxed Values from VASP.

Calculated values
crystal system: tetragonal
magnetization: 0.0 μB/f.u.
SG: P4mm (99)
mass density: 7.3 g cm⁻³
calculated formation energy: 2.014 eV/f.u.

Quantum ESPRESSO input file:
```
&SYSTEM
  ibrav = 0, nat = 4, ntyp = 3
/
ATOMIC_SPECIES
Ca 40.08 Ca.upf
Pb 207.20 Pb.upf
W 183.84 W.upf
ATOMIC_POSITIONS angstrom
Ca 0.000 0.000 0.000
Ca 1.814 1.814 3.022
Pb 0.000 0.000 4.983
W 1.814 1.814 6.214
CELL_PARAMETERS angstrom
3.628 0.000 0.000
0.000 3.628 0.000
0.000 0.000 8.121
```



20.
Material: Er2GeO5
Method: DFT, GGA-PBEsol
State: relaxed Values from VASP.

Calculated values
crystal system: monoclinic
magnetization: 0.0 μB/f.u.
distance to the lowest polymorph of the same formula: 0 meV per atom
SG: P2_1/c (14)
mass density: 7.8 g cm⁻³
formation energy without anion corrections: -2316 kJ/mol of formula units

Quantum ESPRESSO input file:
```
&SYSTEM
  ibrav = 0, nat = 32, ntyp = 3
/
ATOMIC_SPECIES
Er 167.26 Er.upf
Ge 72.64 Ge.upf
O 16.00 O.upf
ATOMIC_POSITIONS angstrom
Er 0.073 0.812 1.506
Er -0.407 2.601 4.803
Er 2.257 0.982 6.451
Er 2.738 2.430 3.154
Er 5.494 4.395 3.442
Er 5.974 5.843 0.144
Er 8.638 4.224 1.792
Er 8.158 6.014 5.090
Ge 1.813 4.119 6.480
Ge 2.293 6.119 3.182
Ge 5.938 0.706 3.414
Ge 6.419 2.706 0.116
O 0.085 0.818 6.031
O 0.565 2.595 2.734
O 0.046 4.414 6.392
O 0.526 5.824 3.094
O 2.314 0.477 1.828
O 1.834 2.936 5.125
O 2.713 0.505 4.366
O 3.193 2.908 1.068
O 3.234 4.666 3.211
O 2.753 5.572 6.509
O 5.478 1.253 0.087
O 4.998 2.159 3.384
O 5.038 3.917 5.528
O 5.519 6.321 2.230
O 6.398 3.889 1.470
O 5.917 6.349 4.768
O 7.705 1.001 3.502
O 8.185 2.412 0.204
O 7.666 4.230 3.862
O 8.147 6.007 0.564
CELL_PARAMETERS angstrom
9.192 0.000 0.000
0.000 6.825 0.000
-0.961 0.000 6.595
```